Entry 1:
{
  "formula": "Co2SiIr",
  "functional": "GGA-PBE",
  "state": "optimized geometry",
  "raw_formation_energy_ev_per_atom": 0.052,
  "crystal_system": "orthorhombic",
  "lattice": [[-1.3916, -2.1612, -0.5595], [1.9638, -0.2337, 1.7347], [-5.0605, 1.7155, 5.9599]],
  "species": ["Co", "Co", "Ir", "Si"],
  "fractional_positions": [[0.0000, 0.0000, 0.9743], [0.0000, 0.0000, 0.5257], [0.5000, 0.5000, 0.2500], [0.5000, 0.5000, 0.7500]]
}

=====

Entry 2:
{
  "formula": "NaCo2C2",
  "functional": "GGA-PBE",
  "state": "optimized geometry",
  "e_form_ev_per_atom": 0.261,
  "polymorph_energy_mev_per_atom": 0.0,
  "crystal_system": "tetragonal",
  "lattice": [[-2.5837, -1.8472, -1.1962], [2.0190, -2.7236, -0.1549], [-1.6360, -3.5678, 4.2283]],
  "species": ["Na", "C", "C", "Co", "Co"],
  "fractional_positions": [[0.0000, 0.0000, 0.0000], [0.3313, 0.3313, 0.3374], [0.6687, 0.6687, 0.6626], [0.7500, 0.2500, 0.5000], [0.2500, 0.7500, 0.5000]]
}

=====

Entry 3:
{
  "formula": "Li2HoTlCl6",
  "functional": "GGA-PBE",
  "state": "optimized geometry",
  "raw_formation_energy_ev_per_atom": -1.856,
  "crystal_system": "trigonal",
  "lattice": [[6.6141, 0.0004, -0.0009], [3.3075, 5.7287, -0.0026], [3.3089, 1.9104, 7.6752]],
  "species": ["Li", "Li", "Ho", "Tl", "Cl", "Cl", "Cl", "Cl", "Cl", "Cl"],
  "fractional_positions": [[0.6435, 0.6436, 0.0689], [0.9888, 0.9887, 0.0341], [0.3162, 0.3161, 0.0515], [0.8162, 0.8162, 0.5516], [0.5897, 0.2527, 0.2377], [0.2526, 0.9200, 0.2376], [0.9198, 0.5899, 0.2377], [0.3798, 0.7124, 0.8653], [0.7125, 0.0425, 0.8654], [0.0426, 0.3796, 0.8653]]
}

=====

Entry 4:
{
  "formula": "Ba2AlZn2Au4",
  "functional": "GGA-PBE",
  "state": "optimized geometry",
  "e_form_ev_per_atom": -0.476,
  "crystal_system": "tetragonal",
  "lattice": [[6.7352, 0.1018, 0.1470], [-3.1437, 5.9574, -0.1470], [-3.1437, -2.2307, 5.5260]],
  "species": ["Ba", "Ba", "Al", "Zn", "Zn", "Au", "Au", "Au", "Au"],
  "fractional_positions": [[0.5000, 0.7500, 0.2500], [0.5000, 0.2500, 0.7500], [0.0000, 0.0000, 0.0000], [0.0000, 0.6587, 0.6587], [0.0000, 0.3413, 0.3413], [0.0000, 0.7375, 0.2625], [0.4751, 0.7375, 0.7375], [0.0000, 0.2625, 0.7375], [0.5249, 0.2625, 0.2625]]
}

=====

Entry 5:
{
  "formula": "La8Tm3Th2",
  "functional": "GGA-PBE",
  "state": "optimized geometry",
  "e_form_ev_per_atom": 0.219,
  "crystal_system": "monoclinic",
  "lattice": [[5.6063, 0.3964, -1.4898], [-1.3626, 6.6229, -3.3655], [2.7141, 1.6840, 10.6904]],
  "species": ["La", "La", "La", "La", "La", "La", "La", "La", "Tm", "Tm", "Tm", "Th", "Th"],
  "fractional_positions": [[0.9984, 0.3243, 0.6486], [0.0016, 0.6757, 0.3514], [0.0004, 0.8666, 0.7332], [0.9996, 0.1334, 0.2668], [0.5008, 0.8061, 0.2096], [0.5008, 0.4035, 0.2096], [0.4992, 0.5965, 0.7904], [0.4992, 0.1939, 0.7904], [0.5000, 0.0000, 0.0000], [0.0000, 0.2752, 0.0000], [0.0000, 0.7248, 0.0000], [0.5019, 0.7576, 0.5151], [0.4981, 0.2424, 0.4849]]
}

=====

Entry 6:
{
  "formula": "SrCdW2",
  "functional": "GGA-PBE",
  "state": "optimized geometry",
  "e_form_ev_per_atom": 1.361,
  "crystal_system": "tetragonal",
  "lattice": [[-2.8376, 2.8293, 2.5613], [1.7636, -1.8584, 4.0066], [6.7544, 7.6820, 3.4126]],
  "species": ["Sr", "Sr", "W", "W", "W", "W", "Cd", "Cd"],
  "fractional_positions": [[0.5000, 0.5000, 0.0000], [0.2500, 0.7500, 0.5000], [0.8493, 0.1250, 0.2500], [0.9007, 0.6250, 0.2500], [0.3750, 0.1507, 0.7500], [0.8750, 0.0993, 0.7500], [0.0000, 0.0000, 0.0000], [0.7500, 0.2500, 0.5000]]
}

=====

Entry 7:
{
  "formula": "Ce3USe4",
  "functional": "GGA-PBE",
  "state": "optimized geometry",
  "raw_formation_energy_ev_per_atom": -1.603,
  "crystal_system": "monoclinic",
  "lattice": [[7.2259, 0.0781, 0.0000], [-2.4586, 6.8000, 0.0000], [0.0000, 0.0000, 8.2934]],
  "species": ["U", "U", "Se", "Se", "Se", "Se", "Se", "Se", "Se", "Se", "Ce", "Ce", "Ce", "Ce", "Ce", "Ce"],
  "fractional_positions": [[0.7500, 0.0000, 0.8758], [0.2500, 0.0000, 0.1242], [0.9971, 0.2473, 0.6278], [0.5002, 0.2444, 0.8777], [0.4971, 0.2473, 0.3722], [0.0002, 0.2444, 0.1223], [0.9998, 0.7556, 0.8777], [0.5029, 0.7527, 0.6278], [0.4998, 0.7556, 0.1223], [0.0029, 0.7527, 0.3722], [0.7500, 0.0000, 0.3744], [0.2500, 0.0000, 0.6256], [0.7500, 0.5000, 0.6256], [0.7500, 0.5000, 0.1242], [0.2500, 0.5000, 0.3744], [0.2500, 0.5000, 0.8758]]
}

=====

Entry 8:
{
  "formula": "La4ZnHgO",
  "functional": "GGA-PBE",
  "state": "optimized geometry",
  "raw_formation_energy_ev_per_atom": -0.994,
  "crystal_system": "orthorhombic",
  "lattice": [[-0.8058, -4.3784, -5.6151], [4.7620, -4.5370, 2.8543], [-5.2592, -1.4549, 6.4616]],
  "species": ["La", "La", "La", "La", "La", "La", "La", "La", "Zn", "Zn", "Hg", "Hg", "O", "O"],
  "fractional_positions": [[0.9227, 0.2500, 0.8455], [0.4308, 0.7500, 0.8617], [0.0773, 0.7500, 0.1545], [0.5692, 0.2500, 0.1383], [0.5000, 0.5000, 0.5000], [0.0000, 0.0000, 0.5000], [0.5000, 0.0000, 0.5000], [0.0000, 0.5000, 0.5000], [0.6277, 0.7500, 0.2554], [0.3723, 0.2500, 0.7446], [0.1201, 0.2500, 0.2403], [0.8799, 0.7500, 0.7597], [0.2523, 0.7500, 0.5046], [0.7477, 0.2500, 0.4954]]
}

=====

Entry 9:
{
  "formula": "BaBeAs2",
  "functional": "GGA-PBE",
  "state": "optimized geometry",
  "e_form_ev_per_atom": -0.127,
  "crystal_system": "orthorhombic",
  "lattice": [[4.1724, -0.0379, 0.0000], [-2.2111, 3.5385, 0.0000], [0.0000, 0.0000, 7.2664]],
  "species": ["Be", "As", "As", "Ba"],
  "fractional_positions": [[0.5000, 0.5000, 0.7500], [0.0000, 0.0000, 0.9228], [0.0000, 0.0000, 0.5772], [0.5000, 0.5000, 0.2500]]
}

=====

Entry 10:
{
  "formula": "HfSi3Ag",
  "functional": "GGA-PBE",
  "state": "optimized geometry",
  "polymorph_energy_mev_per_atom": 0.0,
  "raw_formation_energy_ev_per_atom": 0.891,
  "crystal_system": "cubic",
  "lattice": [[-0.0058, 4.7792, -1.6415], [-3.1726, 1.2742, 3.7211], [3.9332, 1.0348, 2.9990]],
  "species": ["Si", "Si", "Si", "Hf", "Ag"],
  "fractional_positions": [[0.0000, 0.5000, 0.0000], [0.0000, 0.0000, 0.5000], [0.5000, 0.0000, 0.0000], [0.0000, 0.0000, 0.0000], [0.5000, 0.5000, 0.5000]]
}

=====

Entry 11:
{
  "formula": "YPtF2",
  "functional": "GGA-PBE",
  "state": "optimized geometry",
  "polymorph_energy_mev_per_atom": 0.0,
  "raw_formation_energy_ev_per_atom": -1.969,
  "crystal_system": "tetragonal",
  "lattice": [[-1.7011, 1.3059, -3.7573], [-2.1296, -3.7504, -0.3393], [-7.7091, 1.7372, 1.6033]],
  "species": ["Y", "Y", "Pt", "Pt", "F", "F", "F", "F"],
  "fractional_positions": [[0.5000, 0.5000, 0.0000], [0.2500, 0.7500, 0.5000], [0.0000, 0.0000, 0.0000], [0.7500, 0.2500, 0.5000], [0.5308, 0.1250, 0.2500], [0.2192, 0.6250, 0.2500], [0.3750, 0.4692, 0.7500], [0.8750, 0.7808, 0.7500]]
}

=====

Entry 12:
{
  "formula": "Sc4Ir3Pt",
  "functional": "GGA-PBE",
  "state": "optimized geometry",
  "e_form_ev_per_atom": -1.059,
  "crystal_system": "trigonal",
  "lattice": [[-3.1825, 3.2044, 0.8607], [-2.4212, -0.1554, 3.9052], [3.3096, 5.2510, 4.9671]],
  "species": ["Sc", "Sc", "Sc", "Sc", "Ir", "Ir", "Ir", "Pt"],
  "fractional_positions": [[0.8740, 0.8740, 0.3780], [0.3761, 0.3761, 0.8717], [0.1260, 0.1260, 0.6220], [0.6239, 0.6239, 0.1283], [0.2498, 0.2498, 0.2505], [0.7502, 0.7502, 0.7495], [0.5000, 0.5000, 0.5000], [0.0000, 0.0000, 0.0000]]
}

=====

Number 1: total magnetization 0.445 μB/atom. Number 2: total magnetization 0.000 μB/atom. Number 3: total magnetization 0.000 μB/atom. Number 4: total magnetization 0.000 μB/atom. Number 5: total magnetization 0.000 μB/atom. Number 6: total magnetization 0.000 μB/atom. Number 7: total magnetization 0.691 μB/atom. Number 8: total magnetization 0.000 μB/atom. Number 9: total magnetization 0.000 μB/atom. Number 10: total magnetization 0.000 μB/atom. Number 11: total magnetization 0.122 μB/atom. Number 12: total magnetization 0.000 μB/atom.